No. 1
Compound: Rb2ScGaHg
Source: Alexandria
Functional: PBE
Structure: optimized geometry

## Properties
* space-group type: P4/mmm, No. 123
* calculated formation energy: 459 meV per atom
* theoretical density: 2.91 g/cm3

Geometry as POSCAR:
```
Rb2ScGaHg
1.0
7.375 0.000 0.000
0.000 7.375 0.000
0.000 0.000 5.105
Rb Sc Ga Hg
2 1 1 1
Cartesian
0.000 3.687 0.000 Rb
3.687 0.000 0.000 Rb
0.000 0.000 0.000 Sc
0.000 0.000 2.552 Ga
3.687 3.687 2.552 Hg
```

---

No. 2
Compound: Rb2GaSn4Hg3
Source: Alexandria
Functional: PBE
Structure: optimized geometry

## Properties
* space-group type: P-4m2, No. 115
* calculated formation energy: -144 meV per atom
* theoretical density: 7.09 g/cm3

Geometry as POSCAR:
```
Rb2GaSn4Hg3
1.0
4.967 0.000 0.000
0.000 4.967 0.000
0.000 0.000 12.506
Rb Ga Sn Hg
2 1 4 3
Cartesian
0.000 2.483 3.040 Rb
2.483 0.000 9.466 Rb
2.483 2.483 0.000 Ga
0.000 0.000 6.253 Sn
0.000 2.483 10.950 Sn
2.483 0.000 1.557 Sn
2.483 2.483 6.253 Sn
0.000 0.000 0.000 Hg
0.000 2.483 8.058 Hg
2.483 0.000 4.448 Hg
```

---

No. 3
Compound: Rb2Ga3Sn4Hg
Source: Alexandria
Functional: PBE
Structure: optimized geometry

## Properties
* space-group type: P-4m2, No. 115
* calculated formation energy: -143 meV per atom
* theoretical density: 5.97 g/cm3

Geometry as POSCAR:
```
Rb2Ga3Sn4Hg
1.0
5.059 0.000 0.000
0.000 5.059 0.000
0.000 0.000 11.477
Rb Ga Sn Hg
2 3 4 1
Cartesian
0.000 2.529 2.820 Rb
2.529 0.000 8.657 Rb
0.000 0.000 0.000 Ga
0.000 2.529 7.200 Ga
2.529 0.000 4.277 Ga
0.000 0.000 5.738 Sn
0.000 2.529 9.978 Sn
2.529 0.000 1.499 Sn
2.529 2.529 5.738 Sn
2.529 2.529 0.000 Hg
```